Computed, not measured: a relaxed RbInCl2 crystal at the GGA-PBE level of DFT.

extended XYZ file:
```
4
Lattice="2.822 0.000 9.161 -1.411 2.444 9.161 -1.411 -2.444 9.161" Properties=species:S:1:pos:R:3 pbc="T T T"
Cl 0.000 0.000 24.695
Cl 0.000 0.000 2.790
Rb 0.000 0.000 13.742
In 0.000 0.000 0.000
```

Values from the calculation:
Crystal system: trigonal
Fermi-level density of states, states/eV per atom: 0.000
Total DFT energy (no corrections), eV per atom: -3.0610
Space group: No. 166
ΔE to the lowest computed polymorph, eV/atom: 0.168
Uncorrected formation energy, kJ/mol of atoms: -117